(1)
Pa2In9Sn | PBE | optimized geometry

Geometry as extended XYZ:
```
12
Lattice="4.6526 0.0000 0.0000 0.0000 4.6526 0.0000 0.0000 0.0000 14.2216" Properties=species:S:1:pos:R:3 pbc="T T T"
Pa 0.0000 0.0000 2.2927
Pa 0.0000 0.0000 11.9289
In 0.0000 2.3263 0.0000
In 0.0000 2.3263 4.6696
In 0.0000 2.3263 9.5520
In 2.3263 0.0000 0.0000
In 2.3263 0.0000 4.6696
In 2.3263 0.0000 9.5520
In 2.3263 2.3263 2.2970
In 2.3263 2.3263 7.1108
In 2.3263 2.3263 11.9246
Sn 0.0000 0.0000 7.1108
```

Crystal system   tetragonal
Space group   P4/mmm (123)
Formation energy   -0.0398 eV/atom



(2)
PaIn2Sn2 | PBE | optimized geometry

Geometry as extended XYZ:
```
10
Lattice="5.1505 0.0000 0.0000 -2.5753 4.4605 0.0000 0.0000 0.0000 12.8448" Properties=species:S:1:pos:R:3 pbc="T T T"
Pa 0.0000 0.0000 3.2112
Pa 0.0000 0.0000 9.6336
In 0.0000 0.0000 0.0000
In 0.0000 0.0000 6.4224
In 0.0000 2.9737 3.2112
In 2.5753 1.4868 9.6336
Sn 0.0000 2.9737 8.0121
Sn 0.0000 2.9737 11.2551
Sn 2.5753 1.4868 1.5897
Sn 2.5753 1.4868 4.8327
```

Crystal system   hexagonal
Space group   P6_3/mmc (194)
Formation energy   0.1698 eV/atom



(3)
PaInSn2 | PBE | optimized geometry

Geometry as extended XYZ:
```
4
Lattice="4.7276 0.0000 0.0000 0.0000 4.7276 0.0000 0.0000 0.0000 4.4729" Properties=species:S:1:pos:R:3 pbc="T T T"
Pa 0.0000 0.0000 0.0000
In 2.3638 2.3638 0.0000
Sn 0.0000 2.3638 2.2365
Sn 2.3638 0.0000 2.2365
```

Crystal system   tetragonal
Space group   P4/mmm (123)
Formation energy   -0.2781 eV/atom



(4)
Pa2InSn7 | PBE | optimized geometry

Geometry as extended XYZ:
```
10
Lattice="4.1857 -7.4065 0.0000 4.1857 7.4065 0.0000 0.0000 0.0000 5.6210" Properties=species:S:1:pos:R:3 pbc="T T T"
Pa 4.1857 4.2129 0.0000
Pa 4.1857 -4.2129 0.0000
In 4.1857 0.0000 2.8105
Sn 0.0000 0.0000 0.0000
Sn 2.6547 1.4885 0.0000
Sn 4.1857 2.9338 2.8105
Sn 2.6547 -1.4885 0.0000
Sn 5.7167 1.4885 0.0000
Sn 4.1857 -2.9338 2.8105
Sn 5.7167 -1.4885 0.0000
```

Crystal system   orthorhombic
Space group   Cmmm (65)
Formation energy   0.3095 eV/atom



(5)
PaInSn | PBE | optimized geometry

Geometry as extended XYZ:
```
3
Lattice="5.3015 0.0000 0.0000 -2.6507 4.5912 0.0000 0.0000 0.0000 3.0861" Properties=species:S:1:pos:R:3 pbc="T T T"
Pa 0.0000 0.0000 0.0000
In 2.6507 1.5304 1.5430
Sn 0.0000 3.0608 1.5430
```

Crystal system   hexagonal
Space group   P-6m2 (187)
Formation energy   -0.0314 eV/atom



(6)
PaInSn | PBE | optimized geometry

Geometry as extended XYZ:
```
9
Lattice="8.0351 0.0000 0.0000 -4.0176 6.9586 0.0000 0.0000 0.0000 4.2451" Properties=species:S:1:pos:R:3 pbc="T T T"
Pa -1.5423 2.6713 0.0000
Pa 3.0845 0.0000 0.0000
Pa 2.4753 4.2874 0.0000
In -2.9406 5.0933 2.1225
In 1.0770 1.8653 2.1225
In 5.8812 0.0000 2.1225
Sn 0.0000 0.0000 0.0000
Sn 0.0000 4.6391 2.1225
Sn 4.0176 2.3195 2.1225
```

Crystal system   hexagonal
Space group   P-62m (189)
Formation energy   0.0439 eV/atom



(7)
Pa2In3Sn3 | PBE | optimized geometry

Geometry as extended XYZ:
```
8
Lattice="4.4942 0.0000 0.0000 0.0000 4.6635 0.0000 0.0000 0.0000 9.5507" Properties=species:S:1:pos:R:3 pbc="T T T"
Pa 0.0000 0.0000 2.3476
Pa 0.0000 0.0000 7.2031
In 0.0000 2.3318 0.0000
In 0.0000 2.3318 4.7754
In 2.2471 0.0000 4.7754
Sn 2.2471 0.0000 0.0000
Sn 2.2471 2.3318 2.4212
Sn 2.2471 2.3318 7.1296
```

Crystal system   orthorhombic
Space group   Pmmm (47)
Formation energy   -0.2396 eV/atom



(8)
PaInSn2 | PBE | optimized geometry

Geometry as extended XYZ:
```
16
Lattice="7.5208 0.0000 0.0000 0.0000 7.5208 0.0000 0.0000 0.0000 7.5208" Properties=species:S:1:pos:R:3 pbc="T T T"
Pa 0.0000 0.0000 0.0000
Pa 0.0000 3.7604 3.7604
Pa 3.7604 0.0000 3.7604
Pa 3.7604 3.7604 0.0000
In 0.0000 0.0000 3.7604
In 0.0000 3.7604 0.0000
In 3.7604 0.0000 0.0000
In 3.7604 3.7604 3.7604
Sn 1.8802 1.8802 1.8802
Sn 1.8802 1.8802 5.6406
Sn 1.8802 5.6406 1.8802
Sn 1.8802 5.6406 5.6406
Sn 5.6406 1.8802 1.8802
Sn 5.6406 1.8802 5.6406
Sn 5.6406 5.6406 1.8802
Sn 5.6406 5.6406 5.6406
```

Crystal system   cubic
Space group   Fm-3m (225)
Formation energy   0.1176 eV/atom



> formation energy of number 2 (PaIn2Sn2)?

0.1698 eV/atom



> formation energy of number 7 (Pa2In3Sn3)?

-0.2396 eV/atom